Crystalline Rb12Sb3I5 at its relaxed geometry, computed with PBE-GGA.

The value obtained for the density of states at the Fermi level is 136.2 states/eV per cell. The total energy comes out at -2.40 eV/atom.

The structure belongs to space group Ia-3d (No. 230); the cell edges are 21.450, 21.450 and 21.450 Å and the angles 90.00°, 90.00° and 90.00°. Symmetry generates all atoms from Rb at (0.013, 0.073, 0.655), Sb at (0.000, 0.250, 0.125), I at (0.000, 0.000, 0.000) and I at (0.000, 0.250, 0.375).

Crystalline LiTm2Pd6 at its relaxed geometry, computed with PBE-GGA.

The value obtained for the density of states at the Fermi level is 7.3 states/eV per cell. Its formation energy is -0.50 eV per atom.

The structure belongs to space group C2/m (No. 12); the cell edges are 13.974, 7.685 and 3.148 Å and the angles 90.00°, 102.95° and 90.00°. Symmetry generates all atoms from Li at (0.000, 0.000, 0.000), Tm at (0.153, 0.500, 0.651), Pd at (0.000, 0.260, 0.500) and Pd at (0.167, 0.197, 0.166).